[1]
DFT (PBE-GGA) results for a relaxed structure of CaMg2Cu.

The symmetry is P4/mmm.

Cell lengths 4.381, 4.381, 4.804 Å; angles 90.00, 90.00, 90.00 degrees
Sites, in units of the cell vectors:
Mg 0.000 0.000 0.000
Mg 0.500 0.500 0.000
Ca 0.500 0.000 0.500
Cu 0.000 0.500 0.500

[2]
DFT (PBE-GGA) results for a relaxed structure of Ca2MgCu.

The symmetry is Pm.

Cell lengths 4.324, 4.459, 6.307 Å; angles 69.12, 90.00, 90.00 degrees
Sites, in units of the cell vectors:
Ca 0.000 0.970 0.936
Ca 0.500 0.269 0.339
Mg 0.500 0.565 0.746
Cu 0.000 0.696 0.480

[3]
DFT (PBE-GGA) results for a relaxed structure of Ca8MgCu4.

The value obtained for the relative energy among the computed polymorphs is 0.85 eV/f.u. The symmetry is I4/mmm.

Cell lengths 8.203, 8.203, 8.203 Å; angles 98.86, 98.86, 133.80 degrees
Sites, in units of the cell vectors:
Cu 0.500 0.000 0.000
Cu 0.500 0.500 0.500
Cu 0.000 0.000 0.500
Cu 0.000 0.500 0.000
Ca 0.500 0.280 0.780
Ca 0.500 0.720 0.220
Ca 0.000 0.685 0.685
Ca 0.720 0.500 0.220
Ca 0.000 0.315 0.315
Ca 0.685 0.000 0.685
Ca 0.315 0.000 0.315
Ca 0.280 0.500 0.780
Mg 0.000 0.000 0.000

[4]
DFT (PBE-GGA) results for a relaxed structure of CaMg2Cu2.

The value obtained for the relative energy among the computed polymorphs is 1.02 eV/f.u. The symmetry is Ibam.

Cell lengths 6.839, 6.839, 6.839 Å; angles 128.52, 117.73, 84.94 degrees
Sites, in units of the cell vectors:
Ca 0.500 0.750 0.250
Ca 0.500 0.250 0.750
Cu 0.911 0.563 0.349
Cu 0.214 0.063 0.151
Cu 0.089 0.437 0.651
Cu 0.786 0.937 0.849
Mg 0.957 0.795 0.162
Mg 0.368 0.705 0.662
Mg 0.043 0.205 0.838
Mg 0.632 0.295 0.338

[5]
DFT (PBE-GGA) results for a relaxed structure of CaMgCu.

The symmetry is P2_1/c.

Cell lengths 6.437, 6.762, 6.983 Å; angles 75.97, 90.00, 90.00 degrees
Sites, in units of the cell vectors:
Cu 0.561 0.018 0.327
Cu 0.439 0.982 0.673
Cu 0.939 0.518 0.827
Cu 0.061 0.482 0.173
Ca 0.356 0.286 0.925
Ca 0.644 0.714 0.075
Ca 0.856 0.214 0.575
Ca 0.144 0.786 0.425
Mg 0.361 0.329 0.414
Mg 0.139 0.829 0.914
Mg 0.861 0.171 0.086
Mg 0.639 0.671 0.586

[6]
DFT (PBE-GGA) results for a relaxed structure of CaMg2Cu.

The symmetry is Pm.

Cell lengths 4.480, 3.512, 6.258 Å; angles 73.47, 90.00, 90.00 degrees
Sites, in units of the cell vectors:
Mg 0.000 0.811 0.004
Mg 0.500 0.220 0.185
Cu 0.500 0.930 0.763
Ca 0.000 0.540 0.548

no.,formation energy from the elements (eV/atom),DOS(E_F) (states/eV/cell),V (Å³/cell)
1,0.05,2.7,92.2
2,-0.04,3.2,113.6
3,0.07,9.1,366.5
4,0.09,4.1,211.9
5,-0.08,7.7,294.9
6,0.00,1.8,94.4